Record 1
# AcSnGeP

A geometry-optimized AcSnGeP structure (PBE, the Alexandria database).

a = 7.387 Å, b = 7.387 Å, c = 7.387 Å
α = 90.00°, β = 90.00°, γ = 90.00°
Space group F-43m (No. 216)
Asymmetric unit:
Ac  0.000  0.000  0.000
Sn  0.000  0.000  0.500
Ge  0.250  0.250  0.750
P  0.250  0.250  0.250

Summary:
magnetization: 0.0 Bohr magnetons per cell
crystal system: cubic
formation energy from the elements: -0.29 eV per atom

=====

Record 2
# Er2IrOs3

A geometry-optimized Er2IrOs3 structure (PBE, the Alexandria database).

a = 5.2427 Å, b = 5.2427 Å, c = 13.5480 Å
α = 90.00°, β = 90.00°, γ = 120.00°
Space group R-3m (No. 166, hexagonal axes)
Asymmetric unit:
Er  0.0000  0.0000  0.1228
Ir  0.0000  0.0000  0.5000
Os  0.0000  0.5000  0.0000

Summary:
magnetization: 0.0 Bohr magnetons per cell
crystal system: trigonal
formation energy from the elements: -0.45 eV per atom

=====

Among the records above, which one has the lowest formation energy from the elements?
Er2IrOs3

=====

What is the magnetization in the first record?
0.0 Bohr magnetons per cell